The following is a DFT calculation (GGA-PBE) of a relaxed structure of Mg2NiB6.

Cell: 12.393 3.298 5.033 Å, 90.00 110.58 90.00°
Space group C2/m (No. 12)
One atom of each set of equivalent atoms:
1 Mg 0.131 0.000 0.334
2 Ni 0.000 0.500 0.500
3 B 0.124 0.248 0.833
4 B 0.240 0.500 0.088

Results
Energy of formation: 12.6 kJ per mole of atoms